# 1
Here is TiMnNi2As after structural relaxation from the Alexandria database. Energies are from PBE.

Output
As for the total magnetization: 2.86 μB/cell. The formation energy is 590 meV/atom. As for the symmetry: No. 123.

abc: 4.209 4.334 4.209
angles: 90.00 90.00 90.00
Sites, in units of the cell vectors:
Mn 0.000 0.000 0.000
Ni 0.500 0.000 0.000
Ni 0.000 0.000 0.500
Ti 0.500 0.500 0.500
As 0.000 0.500 0.000

# 2
Here is Mn2TlNiAs after structural relaxation from the Alexandria database. Energies are from PBE.

Output
As for the total magnetization: 8.07 μB/cell. The formation energy is 941 meV/atom. As for the symmetry: No. 123.

abc: 4.601 5.447 4.601
angles: 90.00 90.00 90.00
Sites, in units of the cell vectors:
Mn 0.000 0.000 0.500
Mn 0.500 0.000 0.000
Ni 0.500 0.500 0.500
As 0.000 0.000 0.000
Tl 0.000 0.500 0.000

# 3
Here is U2MnNi12As3 after structural relaxation from the Alexandria database. Energies are from PBE.

Output
As for the total magnetization: 4.23 μB/cell. The formation energy is -6 meV/atom. As for the symmetry: No. 166.

abc: 6.329 6.329 6.329
angles: 83.20 83.20 83.20
Sites, in units of the cell vectors:
As 0.000 0.000 0.500
As 0.500 0.000 0.000
As 0.000 0.500 0.000
Ni 0.074 0.620 0.620
Ni 0.682 0.193 0.193
Ni 0.926 0.380 0.380
Ni 0.318 0.807 0.807
Ni 0.193 0.682 0.193
Ni 0.380 0.926 0.380
Ni 0.620 0.074 0.620
Ni 0.807 0.318 0.807
Ni 0.807 0.807 0.318
Ni 0.620 0.620 0.074
Ni 0.380 0.380 0.926
Ni 0.193 0.193 0.682
U 0.600 0.600 0.600
U 0.400 0.400 0.400
Mn 0.000 0.000 0.000

# 4
Here is MnV2NiAs after structural relaxation from the Alexandria database. Energies are from PBE.

Output
As for the total magnetization: 0.38 μB/cell. The formation energy is 1108 meV/atom. As for the symmetry: No. 123.

abc: 4.371 4.158 4.371
angles: 90.00 90.00 90.00
Sites, in units of the cell vectors:
Mn 0.500 0.500 0.500
Ni 0.000 0.000 0.000
V 0.500 0.000 0.000
V 0.000 0.000 0.500
As 0.000 0.500 0.000